No. 1
Computed, not measured: a relaxed structure of NdGdHoAl at the PBE level of DFT. Values from VASP.

Calculated values
Formation enthalpy at 0 K (eV/atom): -0.0709
D(E_F) (states/eV/f.u.): 5.4
ρ (Mg/m³): 7.313

```
&SYSTEM
  ibrav = 0, nat = 4, ntyp = 4
/
ATOMIC_SPECIES
Gd 157.25 Gd.upf
Nd 144.24 Nd.upf
Ho 164.93 Ho.upf
Al 26.98 Al.upf
ATOMIC_POSITIONS crystal
Gd 0.0000 0.0000 0.0000
Nd 0.5000 0.5000 0.5000
Ho 0.7500 0.7500 0.7500
Al 0.2500 0.2500 0.2500
CELL_PARAMETERS angstrom
-4.4412 -2.7444 -1.4234
-0.3776 -5.2875 1.0869
-3.4373 -1.7426 3.7987
```

=====

No. 2
Computed, not measured: a relaxed structure of PrHoOs4 at the PBE level of DFT. Values from VASP.

Calculated values
Formation enthalpy at 0 K (eV/atom): -0.1448
D(E_F) (states/eV/f.u.): 6.0
ρ (Mg/m³): 15.848

```
&SYSTEM
  ibrav = 0, nat = 6, ntyp = 3
/
ATOMIC_SPECIES
Pr 140.91 Pr.upf
Os 190.23 Os.upf
Ho 164.93 Ho.upf
ATOMIC_POSITIONS crystal
Pr 0.2500 0.2500 0.2500
Os 0.6253 0.6253 0.1242
Os 0.6253 0.1242 0.6253
Os 0.6253 0.6253 0.6253
Os 0.1242 0.6253 0.6253
Ho 0.0000 0.0000 0.0000
CELL_PARAMETERS angstrom
5.4070 0.0000 0.0000
2.7035 4.6826 0.0000
2.7035 1.5609 4.4148
```

=====

No. 3
Computed, not measured: a relaxed structure of HoTm3Pt at the PBE level of DFT. Values from VASP.

Calculated values
Formation enthalpy at 0 K (eV/atom): -0.4962
D(E_F) (states/eV/f.u.): 6.3
ρ (Mg/m³): 10.482

```
&SYSTEM
  ibrav = 0, nat = 10, ntyp = 3
/
ATOMIC_SPECIES
Ho 164.93 Ho.upf
Tm 168.93 Tm.upf
Pt 195.08 Pt.upf
ATOMIC_POSITIONS crystal
Ho 0.3756 0.2869 0.7382
Ho 0.8756 0.0658 0.1633
Tm 0.3757 0.4046 0.1865
Tm 0.3756 0.8513 0.9707
Tm 0.8756 0.4629 0.5084
Tm 0.8756 0.9482 0.7150
Tm 0.8757 0.5015 0.9309
Tm 0.3756 0.8899 0.3932
Pt 0.3756 0.7091 0.6612
Pt 0.8757 0.6436 0.2403
CELL_PARAMETERS angstrom
-3.1125 3.9078 0.7280
-3.3447 -1.7172 -5.0829
-4.4219 -4.6154 5.8688
```

=====

No. 4
Computed, not measured: a relaxed structure of ThTl2In at the PBE level of DFT. Values from VASP.

Calculated values
Formation enthalpy at 0 K (eV/atom): -0.0254
D(E_F) (states/eV/f.u.): 3.3
ρ (Mg/m³): 11.126

```
&SYSTEM
  ibrav = 0, nat = 4, ntyp = 3
/
ATOMIC_SPECIES
Tl 204.38 Tl.upf
Th 232.04 Th.upf
In 114.82 In.upf
ATOMIC_POSITIONS crystal
Tl 0.0000 0.0000 0.7706
Tl 0.0000 0.0000 0.2294
Th 0.5000 0.5000 0.5000
In 0.5000 0.5000 0.0000
CELL_PARAMETERS angstrom
3.9366 0.0000 0.0000
0.0000 3.9366 0.0000
0.0000 0.0000 7.2775
```

=====

No. 5
Computed, not measured: a relaxed structure of Ba2Al4Zn3Ge at the PBE level of DFT. Values from VASP.

Calculated values
Formation enthalpy at 0 K (eV/atom): -0.2635
D(E_F) (states/eV/f.u.): 4.4
ρ (Mg/m³): 4.745

```
&SYSTEM
  ibrav = 0, nat = 10, ntyp = 4
/
ATOMIC_SPECIES
Ba 137.33 Ba.upf
Al 26.98 Al.upf
Zn 65.41 Zn.upf
Ge 72.64 Ge.upf
ATOMIC_POSITIONS crystal
Ba 0.5000 0.0000 0.2542
Ba 0.0000 0.5000 0.7458
Al 0.5000 0.5000 0.0000
Al 0.0000 0.0000 0.0000
Al 0.5000 0.0000 0.6280
Al 0.0000 0.5000 0.3720
Zn 0.0000 0.0000 0.5000
Zn 0.5000 0.0000 0.8681
Zn 0.0000 0.5000 0.1319
Ge 0.5000 0.5000 0.5000
CELL_PARAMETERS angstrom
-1.2653 -3.9320 -1.8303
-0.9620 -1.6047 4.1123
-10.4560 3.8111 -0.9587
```

=====

No. 6
Computed, not measured: a relaxed structure of Ge4Pd4Pt5 at the PBE level of DFT. Values from VASP.

Calculated values
Formation enthalpy at 0 K (eV/atom): -0.3873
D(E_F) (states/eV/f.u.): 5.3
ρ (Mg/m³): 13.922

```
&SYSTEM
  ibrav = 0, nat = 13, ntyp = 3
/
ATOMIC_SPECIES
Ge 72.64 Ge.upf
Pd 106.42 Pd.upf
Pt 195.08 Pt.upf
ATOMIC_POSITIONS crystal
Ge 0.7564 0.3470 0.1401
Ge 0.2436 0.6530 0.8599
Ge 0.8966 0.8599 0.3470
Ge 0.1034 0.1401 0.6530
Pd 0.8970 0.4930 0.7131
Pd 0.6100 0.2869 0.4930
Pd 0.1030 0.5070 0.2869
Pd 0.3900 0.7131 0.5070
Pt 0.6824 0.9258 0.7095
Pt 0.3176 0.0742 0.2905
Pt 0.0000 0.0000 0.0000
Pt 0.6081 0.7095 0.0742
Pt 0.3919 0.2905 0.9258
CELL_PARAMETERS angstrom
-4.0090 -0.2671 1.0033
-1.6475 -7.0916 0.0753
-0.2912 -0.4598 7.2605
```

=====

No. 7
Computed, not measured: a relaxed structure of La2Pr5Ho2 at the PBE level of DFT. Values from VASP.

Calculated values
E above lowest polymorph (eV/atom): 0.000
Formation enthalpy at 0 K (eV/atom): 0.0175
D(E_F) (states/eV/f.u.): 14.0
ρ (Mg/m³): 6.868

```
&SYSTEM
  ibrav = 0, nat = 9, ntyp = 3
/
ATOMIC_SPECIES
La 138.91 La.upf
Pr 140.91 Pr.upf
Ho 164.93 Ho.upf
ATOMIC_POSITIONS crystal
La 0.6642 0.0008 0.6704
La 0.3358 0.9992 0.3296
Pr 0.4441 0.9991 0.1125
Pr 0.5559 0.0009 0.8875
Pr 0.2213 0.9998 0.5565
Pr 0.7787 0.0002 0.4435
Pr 0.0000 0.0000 0.0000
Ho 0.1098 0.0009 0.7793
Ho 0.8902 0.9991 0.2207
CELL_PARAMETERS angstrom
-3.7864 -5.0399 -0.8706
2.8503 0.1594 2.3402
-12.0062 3.0169 11.4876
```

=====

No. 8
Computed, not measured: a relaxed structure of K3In4Ag4 at the PBE level of DFT. Values from VASP.

Calculated values
Formation enthalpy at 0 K (eV/atom): -0.0764
D(E_F) (states/eV/f.u.): 4.9
ρ (Mg/m³): 5.454

```
&SYSTEM
  ibrav = 0, nat = 11, ntyp = 3
/
ATOMIC_SPECIES
K 39.10 K.upf
In 114.82 In.upf
Ag 107.87 Ag.upf
ATOMIC_POSITIONS crystal
K 0.1178 0.1178 0.2356
K 0.8822 0.8822 0.7644
K 0.0000 0.5000 0.0000
In 0.3230 0.1296 0.6461
In 0.6770 0.4835 0.3539
In 0.6770 0.8704 0.3539
In 0.3230 0.5165 0.6461
Ag 0.2205 0.7205 0.4411
Ag 0.7795 0.2795 0.5589
Ag 0.5000 0.8073 0.0000
Ag 0.5000 0.1927 0.0000
CELL_PARAMETERS angstrom
-2.0408 -4.1667 1.4807
-0.4978 -2.4995 -7.7196
8.2913 0.1043 3.7121
```

=====

No. 9
Computed, not measured: a relaxed structure of U3Pa2NbN6 at the PBE level of DFT. Values from VASP.

Calculated values
D(E_F) (states/eV/f.u.): 16.8
ρ (Mg/m³): 13.312
Formation energy (no corrections) (eV per formula unit): -16.51

```
&SYSTEM
  ibrav = 0, nat = 12, ntyp = 4
/
ATOMIC_SPECIES
U 238.03 U.upf
Pa 231.04 Pa.upf
Nb 92.91 Nb.upf
N 14.01 N.upf
ATOMIC_POSITIONS crystal
U 0.1656 0.8344 0.5000
U 0.8344 0.1656 0.5000
U 0.5000 0.5000 0.5000
Pa 0.3336 0.6664 0.0000
Pa 0.6664 0.3336 0.0000
Nb 0.0000 0.0000 0.0000
N 0.9201 0.6006 0.7578
N 0.7627 0.7627 0.2449
N 0.0799 0.3994 0.2422
N 0.6006 0.9201 0.7578
N 0.2373 0.2373 0.7551
N 0.3994 0.0799 0.2422
CELL_PARAMETERS angstrom
5.9173 -0.0020 0.0027
-2.9589 5.1244 0.0027
-0.9835 -1.7030 5.5656
```

=====

No. 10
Computed, not measured: a relaxed structure of CaCI2 at the PBE level of DFT. Values from VASP.

Calculated values
E above lowest polymorph (eV/atom): 0.079
D(E_F) (states/eV/f.u.): 0.0
ρ (Mg/m³): 3.275
Formation energy (no corrections) (eV per formula unit): -2.40

```
&SYSTEM
  ibrav = 0, nat = 8, ntyp = 3
/
ATOMIC_SPECIES
I 126.90 I.upf
Ca 40.08 Ca.upf
C 12.01 C.upf
ATOMIC_POSITIONS crystal
I 0.9462 0.7965 0.3369
I 0.6740 0.7533 0.7982
I 0.5010 0.1249 0.9777
I 0.9592 0.3240 0.5631
Ca 0.2865 0.7177 0.0561
Ca 0.4411 0.5188 0.4418
C 0.3264 0.4546 0.1414
C 0.3891 0.3250 0.0838
CELL_PARAMETERS angstrom
4.5313 0.0000 0.0000
-0.8576 8.4024 0.0000
-2.0551 -0.9945 8.1475
```

=====

No. 11
Computed, not measured: a relaxed structure of SrCa3Rh at the PBE level of DFT. Values from VASP.

Calculated values
E above lowest polymorph (eV/atom): 0.154
Formation enthalpy at 0 K (eV/atom): -0.0730
D(E_F) (states/eV/f.u.): 3.4
ρ (Mg/m³): 2.986

```
&SYSTEM
  ibrav = 0, nat = 20, ntyp = 3
/
ATOMIC_SPECIES
Sr 87.62 Sr.upf
Ca 40.08 Ca.upf
Rh 102.91 Rh.upf
ATOMIC_POSITIONS crystal
Sr 0.0000 0.0000 0.5000
Sr 0.5000 0.5000 0.0000
Sr 0.5000 0.0000 0.0000
Sr 0.0000 0.5000 0.5000
Ca 0.9644 0.8746 0.8718
Ca 0.5356 0.3746 0.3718
Ca 0.5356 0.1254 0.3718
Ca 0.0356 0.3746 0.1282
Ca 0.0356 0.1254 0.1282
Ca 0.4644 0.6254 0.6282
Ca 0.4644 0.8746 0.6282
Ca 0.9644 0.6254 0.8718
Ca 0.7179 0.2500 0.7707
Ca 0.7821 0.7500 0.2707
Ca 0.2821 0.7500 0.2293
Ca 0.2179 0.2500 0.7293
Rh 0.9024 0.2500 0.4400
Rh 0.5976 0.7500 0.9400
Rh 0.0976 0.7500 0.5600
Rh 0.4024 0.2500 0.0600
CELL_PARAMETERS angstrom
-2.0134 -3.3830 5.5416
6.8028 -9.8342 -3.5320
6.3931 2.9429 4.1194
```

=====

No. 12
Computed, not measured: a relaxed structure of PrYHo4 at the PBE level of DFT. Values from VASP.

Calculated values
E above lowest polymorph (eV/atom): 0.247
Formation enthalpy at 0 K (eV/atom): 0.2593
D(E_F) (states/eV/f.u.): 12.0
ρ (Mg/m³): 7.279

```
&SYSTEM
  ibrav = 0, nat = 6, ntyp = 3
/
ATOMIC_SPECIES
Pr 140.91 Pr.upf
Y 88.91 Y.upf
Ho 164.93 Ho.upf
ATOMIC_POSITIONS crystal
Pr 0.2500 0.2500 0.2500
Y 0.0000 0.0000 0.0000
Ho 0.6254 0.6254 0.1237
Ho 0.6254 0.1237 0.6254
Ho 0.6254 0.6254 0.6254
Ho 0.1237 0.6254 0.6254
CELL_PARAMETERS angstrom
6.5960 0.0000 0.0000
3.2980 5.7123 0.0000
3.2980 1.9041 5.3856
```

=====

| no. | size of the total moment (μB per formula unit) |
| --- | --- |
| 1 | 8.07 |
| 2 | 0.00 |
| 3 | 0.00 |
| 4 | 0.00 |
| 5 | 0.00 |
| 6 | 0.00 |
| 7 | 0.00 |
| 8 | 0.00 |
| 9 | 4.42 |
| 10 | 0.00 |
| 11 | 0.00 |
| 12 | 1.17 |